5
Lattice="-3.3568 -0.9296 4.7887 3.7690 -4.1847 1.8296 3.0969 4.0852 2.9639" Properties=species:S:1:pos:R:3 comment="PBE Rb3HfN, relaxed" raw_formation_energy_mev_per_atom=1473 volume_a3_per_cell=207.6 e_tot_ev_per_atom=-2.76 e_above_lowest_polymorph_mev_per_atom=0 pbc="T T T"
Rb -1.6784 -0.4648 2.3944
Rb 1.8845 -2.0923 0.9148
Hf 1.7545 -0.5146 4.7911
N 0.0000 0.0000 0.0000
Rb 1.5484 2.0426 1.4820